No. 1
{"formula": "Pr8Nd5Ho", "functional": "GGA-PBE", "state": "optimized geometry", "ef_mev_per_atom": 233, "total_energy_ev_per_atom": -4.53, "crystal_system": "tetragonal", "magmom_total_mub_per_fu": 0.0, "sg": "I-4, No. 82", "lattice_angstrom": [[-4.9564, 4.9564, 5.1683], [4.9564, -4.9564, 5.1683], [4.9564, 4.9564, -5.1683]], "species": ["Pr", "Pr", "Pr", "Pr", "Pr", "Pr", "Pr", "Pr", "Nd", "Nd", "Nd", "Nd", "Nd", "Ho"], "frac_coords": [[0.0777, 0.3375, 0.6031], [0.1701, 0.4381, 0.1009], [0.3372, 0.0692, 0.8991], [0.5254, 0.9223, 0.2598], [0.5619, 0.6628, 0.7320], [0.6625, 0.2656, 0.7402], [0.7344, 0.4746, 0.3969], [0.9308, 0.8299, 0.2680], [0.0291, 0.7157, 0.8984], [0.2843, 0.1827, 0.3135], [0.5000, 0.5000, 0.0000], [0.8173, 0.1307, 0.1016], [0.8693, 0.9709, 0.6865], [0.2500, 0.7500, 0.5000]]}

---

No. 2
{"formula": "Pr5Nd3Ho3", "functional": "GGA-PBE", "state": "optimized geometry", "ef_mev_per_atom": 726, "total_energy_ev_per_atom": -3.99, "crystal_system": "hexagonal", "magmom_total_mub_per_fu": 0.0, "sg": "P-62m, No. 189", "lattice_angstrom": [[9.8525, 0.0000, 0.0000], [-4.9262, 8.5325, 0.0000], [0.0000, 0.0000, 5.5756]], "species": ["Pr", "Pr", "Pr", "Pr", "Pr", "Nd", "Nd", "Nd", "Ho", "Ho", "Ho"], "frac_coords": [[0.0000, 0.2686, 0.0000], [0.2686, 0.0000, 0.0000], [0.3333, 0.6667, 0.0000], [0.6667, 0.3333, 0.0000], [0.7314, 0.7314, 0.0000], [0.0000, 0.4258, 0.5000], [0.4258, 0.0000, 0.5000], [0.5742, 0.5742, 0.5000], [0.0000, 0.6331, 0.0000], [0.3669, 0.3669, 0.0000], [0.6331, 0.0000, 0.0000]]}

---

No. 3
{"formula": "Pr2Nd4Ho3", "functional": "GGA-PBE", "state": "optimized geometry", "ef_mev_per_atom": 49, "total_energy_ev_per_atom": -4.66, "crystal_system": "monoclinic", "magmom_total_mub_per_fu": 0.0, "sg": "C2/m, No. 12", "lattice_angstrom": [[8.7474, -1.7951, 0.0000], [8.7474, 1.7951, 0.0000], [-1.6960, 0.0000, 9.7399]], "species": ["Pr", "Pr", "Nd", "Nd", "Nd", "Nd", "Ho", "Ho", "Ho"], "frac_coords": [[0.1736, 0.1736, 0.3753], [0.8264, 0.8264, 0.6247], [0.9997, 0.9997, 0.1676], [0.0003, 0.0003, 0.8324], [0.1640, 0.1640, 0.7201], [0.8360, 0.8360, 0.2799], [0.3384, 0.3384, 0.9597], [0.5000, 0.5000, 0.5000], [0.6616, 0.6616, 0.0403]]}

---

No. 4
{"formula": "Pr2NdHo5", "functional": "GGA-PBE", "state": "optimized geometry", "ef_mev_per_atom": 21, "total_energy_ev_per_atom": -4.63, "crystal_system": "orthorhombic", "magmom_total_mub_per_fu": 0.0, "sg": "Pbam, No. 55", "lattice_angstrom": [[7.1773, 0.0000, 0.0000], [0.0000, 14.3639, 0.0000], [0.0000, 0.0000, 5.0807]], "species": ["Pr", "Pr", "Pr", "Pr", "Nd", "Nd", "Ho", "Ho", "Ho", "Ho", "Ho", "Ho", "Ho", "Ho", "Ho", "Ho"], "frac_coords": [[0.2473, 0.1259, 0.0000], [0.2527, 0.6259, 0.0000], [0.7473, 0.3741, 0.0000], [0.7527, 0.8741, 0.0000], [0.0000, 0.5000, 0.5000], [0.5000, 0.0000, 0.5000], [0.0000, 0.0000, 0.5000], [0.0023, 0.7509, 0.5000], [0.2483, 0.3746, 0.0000], [0.2517, 0.8746, 0.0000], [0.4977, 0.2509, 0.5000], [0.5000, 0.5000, 0.5000], [0.5023, 0.7491, 0.5000], [0.7483, 0.1254, 0.0000], [0.7517, 0.6254, 0.0000], [0.9977, 0.2491, 0.5000]]}

---

No. 5
{"formula": "Pr8NdHo6", "functional": "GGA-PBE", "state": "optimized geometry", "ef_mev_per_atom": 127, "total_energy_ev_per_atom": -4.57, "crystal_system": "trigonal", "magmom_total_mub_per_fu": 0.0, "sg": "R-3, No. 148", "lattice_angstrom": [[4.5920, 2.6512, 7.0435], [-4.5920, 2.6512, 7.0435], [0.0000, -5.3024, 7.0435]], "species": ["Pr", "Pr", "Pr", "Pr", "Pr", "Pr", "Pr", "Pr", "Nd", "Ho", "Ho", "Ho", "Ho", "Ho", "Ho"], "frac_coords": [[0.0782, 0.0782, 0.0782], [0.2154, 0.6136, 0.2525], [0.2525, 0.2154, 0.6136], [0.3864, 0.7475, 0.7846], [0.6136, 0.2525, 0.2154], [0.7475, 0.7846, 0.3864], [0.7846, 0.3864, 0.7475], [0.9218, 0.9218, 0.9218], [0.5000, 0.5000, 0.5000], [0.0367, 0.5955, 0.7514], [0.2486, 0.9633, 0.4045], [0.4045, 0.2486, 0.9633], [0.5955, 0.7514, 0.0367], [0.7514, 0.0367, 0.5955], [0.9633, 0.4045, 0.2486]]}

---

No. 6
{"formula": "Pr6Nd8Ho", "functional": "GGA-PBE", "state": "optimized geometry", "ef_mev_per_atom": 155, "total_energy_ev_per_atom": -4.60, "crystal_system": "trigonal", "magmom_total_mub_per_fu": 0.0, "sg": "P-3, No. 147", "lattice_angstrom": [[9.6163, 0.0000, 0.0000], [-4.8081, 8.3279, 0.0000], [0.0000, 0.0000, 6.7567]], "species": ["Pr", "Pr", "Pr", "Pr", "Pr", "Pr", "Nd", "Nd", "Nd", "Nd", "Nd", "Nd", "Nd", "Nd", "Ho"], "frac_coords": [[0.0844, 0.6530, 0.1599], [0.3470, 0.4314, 0.1599], [0.4314, 0.0844, 0.8401], [0.5686, 0.9156, 0.1599], [0.6530, 0.5686, 0.8401], [0.9156, 0.3470, 0.8401], [0.0296, 0.7492, 0.6644], [0.2508, 0.2804, 0.6644], [0.2804, 0.0296, 0.3356], [0.3333, 0.6667, 0.6108], [0.6667, 0.3333, 0.3892], [0.7196, 0.9704, 0.6644], [0.7492, 0.7196, 0.3356], [0.9704, 0.2508, 0.3356], [0.0000, 0.0000, 0.0000]]}

---

Copy entry 6 word for word.
{"formula": "Pr6Nd8Ho", "functional": "GGA-PBE", "state": "optimized geometry", "ef_mev_per_atom": 155, "total_energy_ev_per_atom": -4.60, "crystal_system": "trigonal", "magmom_total_mub_per_fu": 0.0, "sg": "P-3, No. 147", "lattice_angstrom": [[9.6163, 0.0000, 0.0000], [-4.8081, 8.3279, 0.0000], [0.0000, 0.0000, 6.7567]], "species": ["Pr", "Pr", "Pr", "Pr", "Pr", "Pr", "Nd", "Nd", "Nd", "Nd", "Nd", "Nd", "Nd", "Nd", "Ho"], "frac_coords": [[0.0844, 0.6530, 0.1599], [0.3470, 0.4314, 0.1599], [0.4314, 0.0844, 0.8401], [0.5686, 0.9156, 0.1599], [0.6530, 0.5686, 0.8401], [0.9156, 0.3470, 0.8401], [0.0296, 0.7492, 0.6644], [0.2508, 0.2804, 0.6644], [0.2804, 0.0296, 0.3356], [0.3333, 0.6667, 0.6108], [0.6667, 0.3333, 0.3892], [0.7196, 0.9704, 0.6644], [0.7492, 0.7196, 0.3356], [0.9704, 0.2508, 0.3356], [0.0000, 0.0000, 0.0000]]}